Run P
Density functional theory data (PBE) for a relaxed structure of Al2HBr. Values from VASP.

Output
**Symmetry**: I-42d (122)

```
&SYSTEM
  ibrav = 0, nat = 8, ntyp = 3
/
ATOMIC_SPECIES
Al 26.98 Al.upf
H 1.01 H.upf
Br 79.90 Br.upf
ATOMIC_POSITIONS angstrom
Al 0.440 1.320 1.476
Al -1.320 2.200 4.427
Al -0.440 3.960 1.476
Al 1.320 3.081 4.427
H 0.000 0.000 0.000
H 0.000 2.640 2.951
Br 2.640 0.000 2.951
Br 0.000 0.000 5.902
CELL_PARAMETERS angstrom
-2.640 2.640 5.902
2.640 -2.640 5.902
2.640 2.640 -5.902
```

---

Run Q
Density functional theory data (PBE) for a relaxed structure of Al2HBr. Values from VASP.

Output
**Symmetry**: Fm-3m (225)

```
&SYSTEM
  ibrav = 0, nat = 4, ntyp = 3
/
ATOMIC_SPECIES
Al 26.98 Al.upf
H 1.01 H.upf
Br 79.90 Br.upf
ATOMIC_POSITIONS angstrom
Al 1.736 1.736 1.736
Al 5.209 5.209 5.209
H 0.000 0.000 0.000
Br 3.473 3.473 3.473
CELL_PARAMETERS angstrom
0.000 3.473 3.473
3.473 0.000 3.473
3.473 3.473 0.000
```

---

Most stable structure: run P

---

Run P
Density functional theory data (PBE) for a relaxed structure of HfAl2Br. Values from VASP.

Output
**Symmetry**: Fm-3m (225)

```
&SYSTEM
  ibrav = 0, nat = 4, ntyp = 3
/
ATOMIC_SPECIES
Hf 178.49 Hf.upf
Al 26.98 Al.upf
Br 79.90 Br.upf
ATOMIC_POSITIONS angstrom
Hf 0.000 0.000 0.000
Al 1.756 1.756 1.756
Al 5.269 5.269 5.269
Br 3.513 3.513 3.513
CELL_PARAMETERS angstrom
0.000 3.513 3.513
3.513 0.000 3.513
3.513 3.513 0.000
```

---

Run Q
Density functional theory data (PBE) for a relaxed structure of HfAl2Br. Values from VASP.

Output
**Symmetry**: I-42d (122)

```
&SYSTEM
  ibrav = 0, nat = 8, ntyp = 3
/
ATOMIC_SPECIES
Hf 178.49 Hf.upf
Al 26.98 Al.upf
Br 79.90 Br.upf
ATOMIC_POSITIONS angstrom
Hf 0.000 0.000 0.000
Hf 0.000 3.988 1.376
Al 1.994 1.919 -0.688
Al 2.069 -1.994 3.439
Al 1.994 2.069 2.063
Al 1.919 5.981 0.688
Br 3.988 0.000 1.376
Br 0.000 0.000 2.751
CELL_PARAMETERS angstrom
-3.988 3.988 2.751
3.988 -3.988 2.751
3.988 3.988 -2.751
```

---

Most stable structure: run Q

---

Run P
Density functional theory data (PBE) for a relaxed structure of HfAlBr2. Values from VASP.

Output
**Symmetry**: R-3m (166)

```
&SYSTEM
  ibrav = 0, nat = 4, ntyp = 3
/
ATOMIC_SPECIES
Hf 178.49 Hf.upf
Al 26.98 Al.upf
Br 79.90 Br.upf
ATOMIC_POSITIONS angstrom
Hf 0.000 0.000 0.000
Al 0.000 0.000 15.223
Br 0.000 0.000 12.122
Br 0.000 0.000 18.323
CELL_PARAMETERS angstrom
1.676 0.968 10.148
-1.676 0.968 10.148
0.000 -1.935 10.148
```

---

Run Q
Density functional theory data (PBE) for a relaxed structure of HfAlBr2. Values from VASP.

Output
**Symmetry**: Fm-3m (225)

```
&SYSTEM
  ibrav = 0, nat = 4, ntyp = 3
/
ATOMIC_SPECIES
Hf 178.49 Hf.upf
Al 26.98 Al.upf
Br 79.90 Br.upf
ATOMIC_POSITIONS angstrom
Hf 0.000 0.000 0.000
Al 3.466 3.466 3.466
Br 1.733 1.733 1.733
Br 5.200 5.200 5.200
CELL_PARAMETERS angstrom
0.000 3.466 3.466
3.466 0.000 3.466
3.466 3.466 0.000
```

---

Run R
Density functional theory data (PBE) for a relaxed structure of HfAlBr2. Values from VASP.

Output
**Symmetry**: I-42d (122)

```
&SYSTEM
  ibrav = 0, nat = 8, ntyp = 3
/
ATOMIC_SPECIES
Hf 178.49 Hf.upf
Al 26.98 Al.upf
Br 79.90 Br.upf
ATOMIC_POSITIONS angstrom
Hf 0.000 0.000 0.000
Hf 0.000 4.672 1.408
Al 4.672 0.000 1.408
Al 0.000 0.000 2.816
Br -1.064 2.336 0.704
Br 2.336 3.609 2.112
Br 1.064 7.009 0.704
Br -2.336 5.736 2.112
CELL_PARAMETERS angstrom
-4.672 4.672 2.816
4.672 -4.672 2.816
4.672 4.672 -2.816
```

---

Most stable structure: run P

---

Run P
Density functional theory data (PBE) for a relaxed structure of Hf2AlSBr. Values from VASP.

Output
**Symmetry**: P4/mmm (123)

```
&SYSTEM
  ibrav = 0, nat = 5, ntyp = 4
/
ATOMIC_SPECIES
Hf 178.49 Hf.upf
Al 26.98 Al.upf
S 32.06 S.upf
Br 79.90 Br.upf
ATOMIC_POSITIONS angstrom
Hf 0.000 2.486 0.000
Hf 2.486 0.000 0.000
Al 0.000 0.000 2.433
S 2.486 2.486 2.433
Br 2.486 2.486 0.000
CELL_PARAMETERS angstrom
4.971 0.000 0.000
0.000 4.971 0.000
0.000 0.000 4.866
```

---

Run Q
Density functional theory data (PBE) for a relaxed structure of Hf2AlSBr. Values from VASP.

Output
**Symmetry**: P4/mmm (123)

```
&SYSTEM
  ibrav = 0, nat = 5, ntyp = 4
/
ATOMIC_SPECIES
Hf 178.49 Hf.upf
Al 26.98 Al.upf
S 32.06 S.upf
Br 79.90 Br.upf
ATOMIC_POSITIONS angstrom
Hf 0.000 2.436 0.000
Hf 2.436 0.000 0.000
Al 0.000 0.000 2.273
S 0.000 0.000 0.000
Br 2.436 2.436 2.273
CELL_PARAMETERS angstrom
4.873 0.000 0.000
0.000 4.873 0.000
0.000 0.000 4.546
```

---

Most stable structure: run Q

---

Run P
Density functional theory data (PBE) for a relaxed structure of HfAlSe2Br. Values from VASP.

Output
**Symmetry**: P4/mmm (123)

```
&SYSTEM
  ibrav = 0, nat = 5, ntyp = 4
/
ATOMIC_SPECIES
Hf 178.49 Hf.upf
Al 26.98 Al.upf
Se 78.96 Se.upf
Br 79.90 Br.upf
ATOMIC_POSITIONS angstrom
Hf 0.000 0.000 0.000
Al 2.599 2.599 2.661
Se 0.000 2.599 0.000
Se 2.599 0.000 0.000
Br 0.000 0.000 2.661
CELL_PARAMETERS angstrom
5.198 0.000 0.000
0.000 5.198 0.000
0.000 0.000 5.322
```

---

Run Q
Density functional theory data (PBE) for a relaxed structure of HfAlSe2Br. Values from VASP.

Output
**Symmetry**: P4/mmm (123)

```
&SYSTEM
  ibrav = 0, nat = 5, ntyp = 4
/
ATOMIC_SPECIES
Hf 178.49 Hf.upf
Al 26.98 Al.upf
Se 78.96 Se.upf
Br 79.90 Br.upf
ATOMIC_POSITIONS angstrom
Hf 0.000 0.000 0.000
Al 2.459 2.459 2.391
Se 0.000 2.459 2.391
Se 2.459 0.000 2.391
Br 2.459 2.459 0.000
CELL_PARAMETERS angstrom
4.918 0.000 0.000
0.000 4.918 0.000
0.000 0.000 4.781
```

---

Most stable structure: run P

---

Run P
Density functional theory data (PBE) for a relaxed structure of HfAlSeBr2. Values from VASP.

Output
**Symmetry**: P4/mmm (123)

```
&SYSTEM
  ibrav = 0, nat = 5, ntyp = 4
/
ATOMIC_SPECIES
Hf 178.49 Hf.upf
Al 26.98 Al.upf
Se 78.96 Se.upf
Br 79.90 Br.upf
ATOMIC_POSITIONS angstrom
Hf 0.000 0.000 0.000
Al 2.477 2.477 2.526
Se 2.477 2.477 0.000
Br 0.000 2.477 2.526
Br 2.477 0.000 2.526
CELL_PARAMETERS angstrom
4.954 0.000 0.000
0.000 4.954 0.000
0.000 0.000 5.052
```

---

Run Q
Density functional theory data (PBE) for a relaxed structure of HfAlSeBr2. Values from VASP.

Output
**Symmetry**: P4/mmm (123)

```
&SYSTEM
  ibrav = 0, nat = 5, ntyp = 4
/
ATOMIC_SPECIES
Hf 178.49 Hf.upf
Al 26.98 Al.upf
Se 78.96 Se.upf
Br 79.90 Br.upf
ATOMIC_POSITIONS angstrom
Hf 0.000 0.000 0.000
Al 2.653 2.653 2.595
Se 0.000 0.000 2.595
Br 0.000 2.653 0.000
Br 2.653 0.000 0.000
CELL_PARAMETERS angstrom
5.306 0.000 0.000
0.000 5.306 0.000
0.000 0.000 5.189
```

---

Most stable structure: run Q

---

Run P
Density functional theory data (PBE) for a relaxed structure of AlHg2Br. Values from VASP.

Output
**Symmetry**: Pmmm (47)

```
&SYSTEM
  ibrav = 0, nat = 4, ntyp = 3
/
ATOMIC_SPECIES
Al 26.98 Al.upf
Hg 200.59 Hg.upf
Br 79.90 Br.upf
ATOMIC_POSITIONS angstrom
Al 0.000 0.000 0.000
Hg 0.000 2.290 2.981
Hg 2.078 0.000 2.981
Br 2.078 2.290 0.000
CELL_PARAMETERS angstrom
4.157 0.000 0.000
0.000 4.580 0.000
0.000 0.000 5.962
```

---

Run Q
Density functional theory data (PBE) for a relaxed structure of AlHg2Br. Values from VASP.

Output
**Symmetry**: I4/mmm (139)

```
&SYSTEM
  ibrav = 0, nat = 4, ntyp = 3
/
ATOMIC_SPECIES
Al 26.98 Al.upf
Hg 200.59 Hg.upf
Br 79.90 Br.upf
ATOMIC_POSITIONS angstrom
Al 0.000 0.000 0.000
Hg 2.171 0.000 2.992
Hg 0.000 2.171 2.992
Br 0.000 0.000 5.984
CELL_PARAMETERS angstrom
-2.171 2.171 5.984
2.171 -2.171 5.984
2.171 2.171 -5.984
```

---

Most stable structure: run Q

---

Run P
Density functional theory data (PBE) for a relaxed structure of AlHg2Br. Values from VASP.

Output
**Symmetry**: Cm (8)

```
&SYSTEM
  ibrav = 0, nat = 4, ntyp = 3
/
ATOMIC_SPECIES
Al 26.98 Al.upf
Hg 200.59 Hg.upf
Br 79.90 Br.upf
ATOMIC_POSITIONS angstrom
Al 0.000 0.000 0.000
Hg 0.004 0.000 6.940
Hg 2.467 0.000 4.822
Br 4.998 0.000 1.906
CELL_PARAMETERS angstrom
4.765 -1.733 0.000
4.765 1.733 0.000
-2.559 0.000 7.693
```

---

Run Q
Density functional theory data (PBE) for a relaxed structure of AlHg2Br. Values from VASP.

Output
**Symmetry**: Pm (6)

```
&SYSTEM
  ibrav = 0, nat = 4, ntyp = 3
/
ATOMIC_SPECIES
Al 26.98 Al.upf
Hg 200.59 Hg.upf
Br 79.90 Br.upf
ATOMIC_POSITIONS angstrom
Al 0.000 0.000 0.000
Hg 0.902 1.790 2.118
Hg 3.522 0.000 3.378
Br 0.864 1.790 5.702
CELL_PARAMETERS angstrom
5.270 0.000 0.000
0.000 3.580 0.000
-2.529 0.000 6.080
```

---

Run R
Density functional theory data (PBE) for a relaxed structure of AlHg2Br. Values from VASP.

Output
**Symmetry**: P4/mmm (123)

```
&SYSTEM
  ibrav = 0, nat = 4, ntyp = 3
/
ATOMIC_SPECIES
Al 26.98 Al.upf
Hg 200.59 Hg.upf
Br 79.90 Br.upf
ATOMIC_POSITIONS angstrom
Al 0.000 0.000 0.000
Hg 1.807 1.807 1.708
Hg 1.807 1.807 5.901
Br 0.000 0.000 3.804
CELL_PARAMETERS angstrom
3.613 0.000 0.000
0.000 3.613 0.000
0.000 0.000 7.608
```

---

Run S
Density functional theory data (PBE) for a relaxed structure of AlHg2Br. Values from VASP.

Output
**Symmetry**: I-42d (122)

```
&SYSTEM
  ibrav = 0, nat = 8, ntyp = 3
/
ATOMIC_SPECIES
Al 26.98 Al.upf
Hg 200.59 Hg.upf
Br 79.90 Br.upf
ATOMIC_POSITIONS angstrom
Al 0.000 0.000 0.000
Al 0.000 3.393 3.079
Hg 5.090 1.346 -1.539
Hg 1.346 1.697 1.539
Hg -1.697 2.047 4.618
Hg 2.047 1.697 7.696
Br 3.393 0.000 3.079
Br 0.000 0.000 6.157
CELL_PARAMETERS angstrom
-3.393 3.393 6.157
3.393 -3.393 6.157
3.393 3.393 -6.157
```

---

Most stable structure: run P